Entry 1:
Computed, not measured: an optimized crystal structure of LiTbYRe at the GGA-PBE level of DFT.

Values from the calculation:
calculated formation energy: 87 meV/atom
space-group type: F-43m, No. 216
E: -6.2771 eV/atom

Unit cell a=4.9411 b=4.9411 c=4.9411 alpha=60.00 beta=60.00 gamma=60.00
Last column: nearest neighbours and their distance in Å.
Fractional positions:
Re1 0.0000 0.0000 0.0000  4 Tb 3.03, 4 Y 3.03
Tb1 0.2500 0.2500 0.2500  4 Re 3.03, 4 Li 3.03
Li1 0.5000 0.5000 0.5000  4 Tb 3.03, 4 Y 3.03
Y1 0.7500 0.7500 0.7500  4 Li 3.03, 4 Re 3.03


Entry 2:
Computed, not measured: an optimized crystal structure of Li2ReTc at the GGA-PBE level of DFT.

Values from the calculation:
calculated formation energy: 326 meV/atom
space-group type: P4/mmm, No. 123
E: -6.3343 eV/atom

Unit cell a=4.5469 b=3.5437 c=3.5437 alpha=90.00 beta=90.00 gamma=90.00
Last column: nearest neighbours and their distance in Å.
Fractional positions:
Li1 0.0000 0.0000 0.0000  4 Li 2.51
Li2 0.0000 0.5000 0.5000  4 Li 2.51
Re1 0.5000 0.5000 0.0000  4 Tc 2.51
Tc1 0.5000 0.0000 0.5000  4 Re 2.51


Entry 3:
Computed, not measured: an optimized crystal structure of LiRe2Tc at the GGA-PBE level of DFT.

Values from the calculation:
calculated formation energy: 367 meV/atom
space-group type: Cmmm, No. 65
E: -8.9266 eV/atom

Unit cell a=4.8899 b=4.8899 c=2.6632 alpha=90.00 beta=90.00 gamma=115.58
Last column: nearest neighbours and their distance in Å.
Fractional positions:
Re1 0.5000 0.5000 0.0000  4 Re 2.61-2.66, 4 Tc 2.78, 4 Li 2.78
Re2 0.0000 0.0000 0.0000  4 Re 2.61-2.66, 4 Li 2.78, 4 Tc 2.78
Tc1 0.5000 0.0000 0.5000  2 Li 2.61, 2 Tc 2.66, 8 Re 2.78
Li1 0.0000 0.5000 0.5000  2 Tc 2.61, 2 Li 2.66, 8 Re 2.78


Entry 4:
Computed, not measured: an optimized crystal structure of LiRe2Tc at the GGA-PBE level of DFT.

Values from the calculation:
calculated formation energy: 193 meV/atom
space-group type: P2/m, No. 10
E: -9.1012 eV/atom

Unit cell a=4.3340 b=2.6195 c=5.0901 alpha=80.22 beta=90.00 gamma=90.00
Last column: nearest neighbours and their distance in Å.
Fractional positions:
Tc1 0.5000 0.2500 0.2500  2 Tc 2.62, 2 Li 2.66, 4 Re 2.67
Re1 0.0000 0.0143 0.9894  4 Re 2.54-2.78, 2 Li 2.64, 2 Tc 2.67
Re2 0.0000 0.4857 0.5106  4 Re 2.54-2.78, 2 Li 2.64, 2 Tc 2.67
Li1 0.5000 0.7500 0.7500  2 Li 2.62, 4 Re 2.64, 2 Tc 2.66


Entry 5:
Computed, not measured: an optimized crystal structure of LiRe2Tc at the GGA-PBE level of DFT.

Values from the calculation:
calculated formation energy: 374 meV/atom
space-group type: P4/mmm, No. 123
E: -8.9199 eV/atom

Unit cell a=2.7146 b=2.7146 c=7.9209 alpha=90.00 beta=90.00 gamma=90.00
Last column: nearest neighbours and their distance in Å.
Fractional positions:
Tc1 0.5000 0.5000 0.2500  4 Tc 2.71, 8 Re 2.72
Re1 0.0000 0.0000 0.0068  4 Re 2.71, 4 Tc 2.72, 4 Li 2.80
Re2 0.0000 0.0000 0.4932  4 Re 2.71, 4 Tc 2.72, 4 Li 2.80
Li1 0.5000 0.5000 0.7500  4 Li 2.71, 8 Re 2.80


Entry 6:
Computed, not measured: an optimized crystal structure of Li2ReTc at the GGA-PBE level of DFT.

Values from the calculation:
calculated formation energy: 319 meV/atom
space-group type: Cmmm, No. 65
E: -6.3413 eV/atom

Unit cell a=5.2037 b=5.2037 c=2.5027 alpha=90.00 beta=90.00 gamma=122.41
Last column: nearest neighbours and their distance in Å.
Fractional positions:
Li1 0.5000 0.5000 0.0000  4 Li 2.50-2.51
Li2 0.0000 0.0000 0.0000  4 Li 2.50-2.51
Re1 0.5000 0.0000 0.5000  2 Re 2.50, 2 Tc 2.51
Tc1 0.0000 0.5000 0.5000  2 Tc 2.50, 2 Re 2.51


Entry 7:
Computed, not measured: an optimized crystal structure of Li2ReTc at the GGA-PBE level of DFT.

Values from the calculation:
calculated formation energy: 396 meV/atom
space-group type: R-3m, No. 166
E: -6.2640 eV/atom

Unit cell a=9.6933 b=9.6933 c=9.6933 alpha=15.80 beta=15.80 gamma=15.80
Last column: nearest neighbours and their distance in Å.
Fractional positions:
Li1 0.5000 0.5000 0.5000  6 Li 2.66, 3 Re 2.84, 3 Tc 2.84
Li2 0.0000 0.0000 0.0000  6 Li 2.66, 3 Re 2.84, 3 Tc 2.84
Tc1 0.7500 0.7500 0.7500  6 Tc 2.66, 6 Li 2.84
Re1 0.2500 0.2500 0.2500  6 Re 2.66, 6 Li 2.84


Entry 8:
Computed, not measured: an optimized crystal structure of LiRe2Tc at the GGA-PBE level of DFT.

Values from the calculation:
calculated formation energy: 284 meV/atom
space-group type: Cmmm, No. 65
E: -9.0104 eV/atom

Unit cell a=2.6525 b=2.6525 c=9.2328 alpha=90.00 beta=90.00 gamma=113.21
Last column: nearest neighbours and their distance in Å.
Fractional positions:
Re1 0.0000 0.0000 0.4932  6 Re 2.65-2.92, 2 Tc 2.68, 2 Li 2.78
Re2 0.0000 0.0000 0.0068  6 Re 2.65-2.92, 2 Tc 2.68, 2 Li 2.78
Tc1 0.5000 0.5000 0.2500  6 Tc 2.65-2.92, 4 Re 2.68
Li1 0.5000 0.5000 0.7500  6 Li 2.65-2.92, 4 Re 2.78


Entry 9:
Computed, not measured: an optimized crystal structure of LiReTc at the GGA-PBE level of DFT.

Values from the calculation:
calculated formation energy: 719 meV/atom
space-group type: F-43m, No. 216
E: -7.5234 eV/atom

Unit cell a=4.1136 b=4.1136 c=4.1136 alpha=60.00 beta=60.00 gamma=60.00
Last column: nearest neighbours and their distance in Å.
Fractional positions:
Li1 0.0000 0.0000 0.0000  4 Tc 2.52
Tc1 0.7500 0.7500 0.7500  4 Li 2.52, 4 Re 2.52
Re1 0.5000 0.5000 0.5000  4 Tc 2.52


Entry 10:
Computed, not measured: an optimized crystal structure of Li3ReTc at the GGA-PBE level of DFT.

Values from the calculation:
calculated formation energy: 1963 meV/atom
space-group type: Pm-3m, No. 221
E: -3.7478 eV/atom

Unit cell a=4.1991 b=4.1991 c=4.1991 alpha=90.00 beta=90.00 gamma=90.00
Last column: nearest neighbours and their distance in Å.
Fractional positions:
Tc1 0.0000 0.0000 0.0000  6 Li 2.10
Li1 0.0000 0.0000 0.5000  2 Tc 2.10
Li2 0.0000 0.5000 0.0000  2 Tc 2.10
Li3 0.5000 0.0000 0.0000  2 Tc 2.10
Re1 0.5000 0.5000 0.5000  12 Li 2.97


Entry 11:
Computed, not measured: an optimized crystal structure of LiRe2Tc at the GGA-PBE level of DFT.

Values from the calculation:
calculated formation energy: 270 meV/atom
space-group type: Pmmm, No. 47
E: -9.0238 eV/atom

Unit cell a=2.6961 b=4.0273 c=5.2068 alpha=90.00 beta=90.00 gamma=90.00
Last column: nearest neighbours and their distance in Å.
Fractional positions:
Tc1 0.5000 0.5000 0.2500  2 Li 2.60, 2 Tc 2.70, 8 Re 2.77
Re1 0.0000 0.0000 0.9905  4 Re 2.50-2.70, 4 Li 2.73, 4 Tc 2.77
Re2 0.0000 0.0000 0.5095  4 Re 2.50-2.70, 4 Li 2.73, 4 Tc 2.77
Li1 0.5000 0.5000 0.7500  2 Tc 2.60, 2 Li 2.70, 8 Re 2.73


Entry 12:
Computed, not measured: an optimized crystal structure of LiReTc at the GGA-PBE level of DFT.

Values from the calculation:
calculated formation energy: 236 meV/atom
space-group type: I4mm, No. 107
E: -8.0066 eV/atom

Unit cell a=4.8410 b=4.8410 c=4.8410 alpha=142.67 beta=142.67 gamma=53.83
Last column: nearest neighbours and their distance in Å.
Fractional positions:
Li1 0.0005 0.0005 0.0000  5 Tc 2.65-2.83, 5 Re 2.66-2.81
Re1 0.3265 0.3265 0.0000  4 Tc 2.56, 5 Li 2.66-2.81
Tc1 0.6730 0.6730 0.0000  4 Re 2.56, 5 Li 2.65-2.83